Entry from Alexandria via LeMat-Bulk: a geometry-optimized HPdPt2Au structure (PBE).

a b c (Å): 3.9971 3.9971 4.2190
angles (deg): 90.00 90.00 90.00
Positions (direct):
Pd  0.0000  0.0000  0.5000
Au  0.5000  0.5000  0.5000
Pt  0.5000  0.0000  0.0000
Pt  0.0000  0.5000  0.0000
H  0.0000  0.0000  0.0000

Computed properties:
- Space group: No. 123
- Energy: -23.7 eV per cell
- Crystal system: tetragonal
- Distance to the lowest polymorph of the same formula: 0.00 kJ/mol of atoms

***

Entry from Alexandria via LeMat-Bulk: a geometry-optimized Rb2H6PdAu structure (PBE).

a b c (Å): 5.2498 5.2498 6.2334
angles (deg): 65.14 65.14 90.00
Positions (direct):
H  0.7493  0.7492  0.9991
H  0.2507  0.2508  0.0009
H  0.1661  0.1661  0.6675
H  0.8339  0.8339  0.3325
H  0.7488  0.2512  0.0000
H  0.2512  0.7488  0.0000
Rb  0.7499  0.2501  0.5000
Rb  0.2501  0.7499  0.5000
Au  0.5000  0.5000  0.0000
Pd  0.0000  0.0000  0.0000

Computed properties:
- Space group: No. 139
- Energy: -32.1 eV per cell
- Crystal system: tetragonal

***

DOS at the Fermi energy per entry: 1.075, 0.266 states/eV per atom